Record 1
Here is a relaxed structure of ErLuHgIr from Alexandria. Energies are from PBE-GGA.

Structure (POSCAR):
```
ErLuHgIr
1.0
0.000 3.509 3.509
3.509 0.000 3.509
3.509 3.509 0.000
Er Lu Hg Ir
1 1 1 1
Cartesian
0.000 0.000 0.000
3.509 3.509 3.509
1.754 1.754 1.754
5.263 5.263 5.263
```

Results
The symmetry is F-43m (216). As for the formation energy: -658 meV/atom.

Record 2
Here is a relaxed structure of ErMgHgIr from Alexandria. Energies are from PBE-GGA.

Structure (POSCAR):
```
ErMgHgIr
1.0
0.000 3.418 3.418
3.418 0.000 3.418
3.418 3.418 0.000
Er Mg Hg Ir
1 1 1 1
Cartesian
0.000 0.000 0.000
3.418 3.418 3.418
1.709 1.709 1.709
5.127 5.127 5.127
```

Results
The symmetry is F-43m (216). As for the formation energy: -435 meV/atom.

Record 3
Here is a relaxed structure of ErHgIrPd from Alexandria. Energies are from PBE-GGA.

Structure (POSCAR):
```
ErHgIrPd
1.0
0.000 3.348 3.348
3.348 0.000 3.348
3.348 3.348 0.000
Er Hg Ir Pd
1 1 1 1
Cartesian
0.000 0.000 0.000
3.348 3.348 3.348
5.023 5.023 5.023
1.674 1.674 1.674
```

Results
The symmetry is F-43m (216). As for the formation energy: -473 meV/atom.

Record 4
Here is a relaxed structure of Er4HgIrPd2 from Alexandria. Energies are from PBE-GGA.

Structure (POSCAR):
```
Er4HgIrPd2
1.0
2.484 1.434 8.106
-2.484 1.434 8.106
0.000 -2.868 8.106
Er Hg Ir Pd
4 1 1 2
Cartesian
0.000 0.000 2.865
0.000 0.000 8.978
0.000 0.000 15.339
0.000 0.000 21.452
0.000 0.000 12.158
0.000 0.000 0.000
0.000 0.000 6.030
0.000 0.000 18.287
```

Results
The symmetry is R-3m (166). As for the formation energy: -822 meV/atom.

Record 5
Here is a relaxed structure of PmErHgIr from Alexandria. Energies are from PBE-GGA.

Structure (POSCAR):
```
PmErHgIr
1.0
0.000 3.595 3.595
3.595 0.000 3.595
3.595 3.595 0.000
Pm Er Hg Ir
1 1 1 1
Cartesian
0.000 0.000 0.000
3.595 3.595 3.595
5.392 5.392 5.392
1.797 1.797 1.797
```

Results
The symmetry is F-43m (216). As for the formation energy: -576 meV/atom.

Record 6
Here is a relaxed structure of PrErHgIr from Alexandria. Energies are from PBE-GGA.

Structure (POSCAR):
```
PrErHgIr
1.0
0.000 3.624 3.624
3.624 0.000 3.624
3.624 3.624 0.000
Pr Er Hg Ir
1 1 1 1
Cartesian
0.000 0.000 0.000
3.624 3.624 3.624
1.812 1.812 1.812
5.436 5.436 5.436
```

Results
The symmetry is F-43m (216). As for the formation energy: -535 meV/atom.

Record 7
Here is a relaxed structure of ErPuHgIr from Alexandria. Energies are from PBE-GGA.

Structure (POSCAR):
```
ErPuHgIr
1.0
0.000 3.560 3.560
3.560 0.000 3.560
3.560 3.560 0.000
Er Pu Hg Ir
1 1 1 1
Cartesian
0.000 0.000 0.000
3.560 3.560 3.560
5.340 5.340 5.340
1.780 1.780 1.780
```

Results
The symmetry is F-43m (216). As for the formation energy: -382 meV/atom.

Record 8
Here is a relaxed structure of Er5Hg2Ir2Ru from Alexandria. Energies are from PBE-GGA.

Structure (POSCAR):
```
Er5Hg2Ir2Ru
1.0
11.484 0.000 0.000
0.000 11.484 0.000
0.000 0.000 3.538
Er Hg Ir Ru
10 4 4 2
Cartesian
0.000 5.742 0.000
0.868 2.209 0.000
2.209 10.616 0.000
3.533 4.874 0.000
4.874 7.951 0.000
5.742 0.000 0.000
6.610 3.533 0.000
7.951 6.610 0.000
9.275 0.868 0.000
10.616 9.275 0.000
2.004 7.746 1.769
3.739 2.004 1.769
7.746 9.481 1.769
9.481 3.739 1.769
1.521 4.221 1.769
4.221 9.963 1.769
7.263 1.521 1.769
9.963 7.263 1.769
0.000 0.000 1.769
5.742 5.742 1.769
```

Results
The symmetry is P4/mbm (127). As for the formation energy: -510 meV/atom.

Record 9
Here is a relaxed structure of ErScHgIr from Alexandria. Energies are from PBE-GGA.

Structure (POSCAR):
```
ErScHgIr
1.0
0.000 3.453 3.453
3.453 0.000 3.453
3.453 3.453 0.000
Er Sc Hg Ir
1 1 1 1
Cartesian
0.000 0.000 0.000
3.453 3.453 3.453
5.179 5.179 5.179
1.726 1.726 1.726
```

Results
The symmetry is F-43m (216). As for the formation energy: -623 meV/atom.

Record 10
Here is a relaxed structure of ErThHgIr from Alexandria. Energies are from PBE-GGA.

Structure (POSCAR):
```
ErThHgIr
1.0
2.067 1.193 7.430
-2.067 1.193 7.430
0.000 -2.387 7.430
Er Th Hg Ir
1 1 1 1
Cartesian
0.000 0.000 0.000
0.000 0.000 4.453
0.000 0.000 16.962
0.000 0.000 13.390
```

Results
The symmetry is R3m (160). For the excess energy over the best structure of this formula in the dataset, the calculation gives 0 meV per atom. As for the formation energy: -647 meV/atom.

Record 11
Here is a relaxed structure of ErThHgIr from Alexandria. Energies are from PBE-GGA.

Structure (POSCAR):
```
ErThHgIr
1.0
0.000 3.629 3.629
3.629 0.000 3.629
3.629 3.629 0.000
Er Th Hg Ir
1 1 1 1
Cartesian
0.000 0.000 0.000
3.629 3.629 3.629
1.815 1.815 1.815
5.444 5.444 5.444
```

Results
The symmetry is F-43m (216). For the excess energy over the best structure of this formula in the dataset, the calculation gives 147 meV per atom. As for the formation energy: -501 meV/atom.

Record 12
Here is a relaxed structure of YErHgIr from Alexandria. Energies are from PBE-GGA.

Structure (POSCAR):
```
YErHgIr
1.0
0.000 3.549 3.549
3.549 0.000 3.549
3.549 3.549 0.000
Y Er Hg Ir
1 1 1 1
Cartesian
0.000 0.000 0.000
3.549 3.549 3.549
5.323 5.323 5.323
1.774 1.774 1.774
```

Results
The symmetry is F-43m (216). As for the formation energy: -632 meV/atom.

Record 13
Here is a relaxed structure of KErHg2 from Alexandria. Energies are from PBE-GGA.

Structure (POSCAR):
```
KErHg2
1.0
2.001 1.155 9.395
-2.001 1.155 9.395
0.000 -2.311 9.395
K Er Hg
1 1 2
Cartesian
0.000 0.000 0.000
0.000 0.000 14.093
0.000 0.000 6.686
0.000 0.000 21.499
```

Results
The symmetry is R-3m (166). For the excess energy over the best structure of this formula in the dataset, the calculation gives 109 meV per atom. As for the formation energy: -166 meV/atom.

Record 14
Here is a relaxed structure of KEr2Hg3 from Alexandria. Energies are from PBE-GGA.

Structure (POSCAR):
```
KEr2Hg3
1.0
3.725 0.000 0.000
0.000 3.725 0.000
0.000 0.000 12.116
K Er Hg
1 2 3
Cartesian
0.000 0.000 0.000
0.000 0.000 4.206
0.000 0.000 7.910
1.863 1.863 2.546
1.863 1.863 6.058
1.863 1.863 9.570
```

Results
The symmetry is P4/mmm (123). As for the formation energy: -369 meV/atom.

Record 15
Here is a relaxed structure of KErHg2 from Alexandria. Energies are from PBE-GGA.

Structure (POSCAR):
```
KErHg2
1.0
3.779 0.000 0.000
0.000 3.779 0.000
0.000 0.000 8.331
K Er Hg
1 1 2
Cartesian
0.000 0.000 0.000
0.000 0.000 4.166
1.889 1.889 2.492
1.889 1.889 5.839
```

Results
The symmetry is P4/mmm (123). For the excess energy over the best structure of this formula in the dataset, the calculation gives 0 meV per atom. As for the formation energy: -275 meV/atom.

Record 16
Here is a relaxed structure of KErHg from Alexandria. Energies are from PBE-GGA.

Structure (POSCAR):
```
KErHg
1.0
16.822 0.000 0.000
0.000 1.931 3.339
0.000 -1.931 3.339
K Er Hg
2 2 2
Cartesian
2.836 0.000 0.000
13.986 0.000 0.000
6.319 0.000 4.416
10.503 0.000 4.416
0.000 0.000 4.455
8.411 0.000 6.643
```

Results
The symmetry is Amm2 (38). As for the formation energy: 40 meV/atom.

Record 17
Here is a relaxed structure of KErHgPb from Alexandria. Energies are from PBE-GGA.

Structure (POSCAR):
```
KErHgPb
1.0
0.000 3.910 3.910
3.910 0.000 3.910
3.910 3.910 0.000
K Er Hg Pb
1 1 1 1
Cartesian
0.000 0.000 0.000
3.910 3.910 3.910
1.955 1.955 1.955
5.865 5.865 5.865
```

Results
The symmetry is F-43m (216). As for the formation energy: -204 meV/atom.

Record 18
Here is a relaxed structure of K2ErHg2Se4 from Alexandria. Energies are from PBE-GGA.

Structure (POSCAR):
```
K2ErHg2Se4
1.0
8.267 -2.090 0.000
8.267 2.090 0.000
-3.438 0.000 7.602
K Er Hg Se
2 1 2 4
Cartesian
1.841 0.000 0.524
11.255 0.000 7.078
-1.719 0.000 3.801
3.478 0.000 3.629
9.617 0.000 3.973
0.546 0.000 5.596
5.467 0.000 5.513
7.628 0.000 2.090
12.550 0.000 2.006
```

Results
The symmetry is C2/m (12). For the energy relative to the elements, uncorrected, the calculation gives -967 meV per atom.

Record 19
Here is a relaxed structure of KEr2HgTe4 from Alexandria. Energies are from PBE-GGA.

Structure (POSCAR):
```
KEr2HgTe4
1.0
2.205 -7.512 0.000
2.205 7.512 0.000
0.000 0.000 16.467
K Er Hg Te
2 4 2 8
Cartesian
2.205 5.413 12.350
2.205 -5.413 4.117
2.205 1.847 9.441
2.205 1.847 15.259
2.205 -1.847 1.208
2.205 -1.847 7.025
2.205 4.919 4.117
2.205 -4.919 12.350
0.000 0.000 0.000
0.000 0.000 8.233
2.205 3.542 1.512
2.205 3.542 6.721
2.205 0.585 12.350
2.205 -0.585 4.117
2.205 -3.542 9.745
2.205 -3.542 14.955
```

Results
The symmetry is Cmcm (63). For the energy relative to the elements, uncorrected, the calculation gives -962 meV per atom.

Record 20
Here is a relaxed structure of LaErHg from Alexandria. Energies are from PBE-GGA.

Structure (POSCAR):
```
LaErHg
1.0
8.427 0.000 0.000
0.000 4.939 0.000
0.000 0.000 8.765
La Er Hg
4 4 4
Cartesian
0.233 1.235 1.413
3.981 3.705 5.796
4.446 1.235 2.969
8.194 3.705 7.352
1.192 1.235 5.031
3.021 3.705 0.649
5.406 1.235 8.116
7.235 3.705 3.734
1.826 3.705 3.373
2.388 1.235 7.755
6.040 3.705 1.010
6.601 1.235 5.392
```

Results
The symmetry is Pnma (62). For the excess energy over the best structure of this formula in the dataset, the calculation gives 0 meV per atom. As for the formation energy: -335 meV/atom.

Record 21
Here is a relaxed structure of LaEr5Hg6 from Alexandria. Energies are from PBE-GGA.

Structure (POSCAR):
```
LaEr5Hg6
1.0
8.273 -3.773 0.000
8.273 3.773 0.000
-1.614 0.000 4.979
La Er Hg
1 5 6
Cartesian
0.000 0.000 0.000
1.612 0.000 3.299
4.934 0.000 1.644
8.273 0.000 0.000
9.999 0.000 3.335
13.322 0.000 1.679
4.091 1.793 4.121
7.467 1.729 2.489
10.842 1.793 0.858
4.091 -1.793 4.121
7.467 -1.729 2.489
10.842 -1.793 0.858
```

Results
The symmetry is C2/m (12). As for the formation energy: -471 meV/atom.

Record 22
Here is a relaxed structure of LaEr2Hg2 from Alexandria. Energies are from PBE-GGA.

Structure (POSCAR):
```
LaEr2Hg2
1.0
5.119 0.000 0.000
0.000 5.024 0.000
-0.663 0.000 11.679
La Er Hg
2 4 4
Cartesian
0.942 1.256 2.909
3.514 3.768 8.770
0.950 3.768 5.805
1.001 1.256 10.225
3.454 3.768 1.453
3.505 1.256 5.873
0.261 3.768 11.641
0.945 1.256 7.396
3.510 3.768 4.282
4.195 1.256 0.038
```

Results
The symmetry is P2_1/m (11). For the excess energy over the best structure of this formula in the dataset, the calculation gives 59 meV per atom. As for the formation energy: -313 meV/atom.

Record 23
Here is a relaxed structure of La2Er2Hg from Alexandria. Energies are from PBE-GGA.

Structure (POSCAR):
```
La2Er2Hg
1.0
3.719 -5.299 0.000
3.719 5.299 0.000
-3.715 0.000 8.252
La Er Hg
4 4 2
Cartesian
0.009 0.000 3.399
1.557 0.000 0.003
2.166 0.000 8.249
3.715 0.000 4.853
0.005 2.188 6.545
3.718 2.188 1.706
0.005 -2.188 6.545
3.718 -2.188 1.706
1.862 2.657 4.126
1.862 -2.657 4.126
```

Results
The symmetry is C2/m (12). As for the formation energy: -138 meV/atom.

Record 24
Here is a relaxed structure of La3ErHg2 from Alexandria. Energies are from PBE-GGA.

Structure (POSCAR):
```
La3ErHg2
1.0
5.403 0.000 0.000
0.000 9.774 0.000
0.000 0.000 7.024
La Er Hg
6 2 4
Cartesian
0.000 0.530 0.000
0.000 3.224 2.225
0.000 6.549 5.737
0.000 9.243 3.512
2.701 1.727 4.895
2.701 8.047 1.383
2.701 4.418 0.146
2.701 5.356 3.658
0.000 3.449 5.511
0.000 6.324 1.999
2.701 1.527 1.652
2.701 8.247 5.164
```

Results
The symmetry is Pmc2_1 (26). As for the formation energy: -334 meV/atom.

Record 25
Here is a relaxed structure of LaEr2Hg8 from Alexandria. Energies are from PBE-GGA.

Structure (POSCAR):
```
LaEr2Hg8
1.0
-2.572 3.669 7.475
2.572 -3.669 7.475
2.572 3.669 -7.475
La Er Hg
1 2 8
Cartesian
0.000 0.000 0.000
0.000 0.000 4.679
0.000 0.000 10.272
2.572 -1.574 5.121
2.572 0.000 2.333
2.572 2.175 0.000
0.000 2.094 2.354
2.572 1.574 5.121
0.000 1.494 7.475
0.000 3.669 5.143
0.000 5.243 2.354
```

Results
The symmetry is Immm (71). As for the formation energy: -311 meV/atom.

What did we get for Fermi-level density of states? Answer: 0.4988; 0.5586; 0.2678; 0.5436; 0.6322; 0.7012; 2.3708; 0.7027; 0.5991; 0.8745; 1.0559; 0.5113; 0.7399; 0.4769; 0.8257; 0.7058; 0.1268; 0.4088; 0.5381; 1.1449; 0.9044; 0.8146; 1.0676; 0.7059; 0.5537 states/eV/atom, in the order shown.
What did we get for magnetic moment? Answer: 0.000; 0.000; 0.000; 0.000; 0.000; 0.000; 5.304; 0.000; 0.000; 0.000; 0.000; 0.001; 0.000; 0.000; 0.000; 0.013; 0.000; 0.000; 0.000; 0.000; 0.696; 0.000; 0.000; 0.000; 0.000 μB/f.u., in the order shown.